The following is a PBE calculation of crystalline Mg2CdHPb at its relaxed geometry, from the Alexandria database.

Cell and atoms, written as POSCAR:
```
Mg2CdHPb
1.0
4.519 0.000 0.000
0.000 4.519 0.000
0.000 0.000 4.887
Mg Cd H Pb
2 1 1 1
direct
0.000 0.500 0.000
0.500 0.000 0.000
0.000 0.000 0.500
0.500 0.500 0.000
0.500 0.500 0.500
```

Properties
ΔE to the lowest computed polymorph: 33 meV per atom
SG: No. 123
total moment: 0.00 μB per cell
calculated volume: 99.82 Å³/cell

---

The following is a PBE calculation of crystalline Li3TbSn3 at its relaxed geometry, from the Alexandria database.

Cell and atoms, written as POSCAR:
```
Li3TbSn3
1.0
4.174 2.410 5.804
-4.174 2.410 5.804
0.000 -4.820 5.804
Li Tb Sn
6 2 6
direct
0.039 0.727 0.384
0.273 0.616 0.961
0.384 0.039 0.727
0.616 0.961 0.273
0.727 0.384 0.039
0.961 0.273 0.616
0.166 0.166 0.166
0.834 0.834 0.834
0.149 0.444 0.737
0.263 0.851 0.556
0.444 0.737 0.149
0.556 0.263 0.851
0.737 0.149 0.444
0.851 0.556 0.263
```

Properties
ΔE to the lowest computed polymorph: 0 meV per atom
SG: No. 148
total moment: 0.00 μB per cell
calculated volume: 350.38 Å³/cell

---

The following is a PBE calculation of crystalline La2Sm5Ho4 at its relaxed geometry, from the Alexandria database.

Cell and atoms, written as POSCAR:
```
La2Sm5Ho4
1.0
8.340 -3.382 0.000
8.340 3.382 0.000
-1.306 0.000 6.664
La Sm Ho
2 5 4
direct
0.201 0.201 0.302
0.799 0.799 0.698
0.000 0.000 0.500
0.177 0.646 0.092
0.354 0.823 0.908
0.646 0.177 0.092
0.823 0.354 0.908
0.243 0.243 0.810
0.412 0.412 0.592
0.588 0.588 0.408
0.757 0.757 0.190
```

Properties
ΔE to the lowest computed polymorph: 88 meV per atom
SG: No. 12
total moment: 0.00 μB per cell
calculated volume: 375.91 Å³/cell

---

The following is a PBE calculation of crystalline InSnPSe2 at its relaxed geometry, from the Alexandria database.

Cell and atoms, written as POSCAR:
```
InSnPSe2
1.0
5.304 0.000 0.000
0.000 5.304 0.000
0.000 0.000 4.977
In Sn P Se
1 1 1 2
direct
0.000 0.000 0.000
0.500 0.500 0.500
0.000 0.000 0.500
0.000 0.500 0.000
0.500 0.000 0.000
```

Properties
formation energy from raw total energies: 41.66 kJ per mole of atoms
SG: No. 123
total moment: 0.00 μB per cell
calculated volume: 139.99 Å³/cell

---

The following is a PBE calculation of crystalline Ac2In3Sn4 at its relaxed geometry, from the Alexandria database.

Cell and atoms, written as POSCAR:
```
Ac2In3Sn4
1.0
3.412 -8.479 0.000
3.412 8.479 0.000
0.000 0.000 9.290
Ac In Sn
4 6 8
direct
0.118 0.882 0.923
0.382 0.618 0.423
0.618 0.382 0.577
0.882 0.118 0.077
0.000 0.000 0.500
0.035 0.465 0.750
0.465 0.035 0.250
0.500 0.500 0.000
0.535 0.965 0.750
0.965 0.535 0.250
0.183 0.817 0.553
0.207 0.293 0.750
0.293 0.207 0.250
0.317 0.683 0.053
0.683 0.317 0.947
0.707 0.793 0.750
0.793 0.707 0.250
0.817 0.183 0.447
```

Properties
SG: No. 64
total moment: 0.00 μB per cell
calculated volume: 537.47 Å³/cell

---

The following is a PBE calculation of crystalline Tb3Nd2Dy8 at its relaxed geometry, from the Alexandria database.

Cell and atoms, written as POSCAR:
```
Tb3Nd2Dy8
1.0
3.820 -10.336 0.000
3.820 10.336 0.000
0.000 0.000 5.562
Tb Nd Dy
3 2 8
direct
0.000 0.000 0.000
0.288 0.288 0.500
0.712 0.712 0.500
0.241 0.759 0.000
0.759 0.241 0.000
0.129 0.871 0.500
0.182 0.394 0.000
0.337 0.663 0.500
0.394 0.182 0.000
0.606 0.818 0.000
0.663 0.337 0.500
0.818 0.606 0.000
0.871 0.129 0.500
```

Properties
SG: No. 65
total moment: 0.00 μB per cell
calculated volume: 439.18 Å³/cell

---

no.,energy (eV/atom)
1,-2.13
2,-3.44
3,-4.55
4,-3.39
5,-3.99
6,-4.39